No. 1
# RbLaTl2I6

A relaxed RbLaTl2I6 crystal (PBE-GGA, Alexandria).

Values from the calculation:
Raw formation energy, eV per atom: -1.1769
Energy, Ha/atom: -0.11649
Volume, Å³ per cell: 521
Density of states at the Fermi level, states/eV per cell: 0.0
Size of the total moment, μB per cell: 0.00

Cell: 8.8026 8.8052 9.2797 Å, 61.67 61.66 59.97°
Atoms (fractional coordinates):
La  0.3252  0.3253  0.0242
Tl  0.0092  0.0092  0.9727
Tl  0.5209  0.5206  0.4377
I  0.5700  0.2253  0.2434
I  0.2253  0.9612  0.2434
I  0.3955  0.7024  0.7638
I  0.7026  0.1378  0.7641
I  0.9613  0.5702  0.2436
I  0.1379  0.3957  0.7640
Rb  0.8137  0.8140  0.5584


No. 2
# Rb2LaYI6

A relaxed Rb2LaYI6 crystal (PBE-GGA, Alexandria).

Values from the calculation:
Raw formation energy, eV per atom: -1.2578
Energy, Ha/atom: -0.12938
Volume, Å³ per cell: 474
Density of states at the Fermi level, states/eV per cell: 8.1
Size of the total moment, μB per cell: 0.00

Cell: 8.7494 8.7494 8.7510 Å, 60.01 60.01 90.00°
Atoms (fractional coordinates):
I  0.2550  0.2550  0.4899
I  0.7450  0.2550  0.0000
I  0.7450  0.7450  0.5101
I  0.7450  0.7450  0.0000
I  0.2550  0.2550  0.0000
I  0.2550  0.7450  0.0000
Y  0.5000  0.5000  0.0000
Rb  0.7500  0.2500  0.5000
Rb  0.2500  0.7500  0.5000
La  0.0000  0.0000  0.0000


No. 3
# Rb2LaZnI

A relaxed Rb2LaZnI crystal (PBE-GGA, Alexandria).

Values from the calculation:
Raw formation energy, eV per atom: 0.1100
Energy, Ha/atom: -0.06715
Volume, Å³ per cell: 299
Density of states at the Fermi level, states/eV per cell: 6.1
Size of the total moment, μB per cell: 2.10

Cell: 6.9407 6.2007 6.9407 Å, 90.00 90.00 90.00°
Atoms (fractional coordinates):
La  0.0000  0.5000  0.0000
I  0.0000  0.0000  0.0000
Zn  0.5000  0.5000  0.5000
Rb  0.5000  0.0000  0.0000
Rb  0.0000  0.0000  0.5000


No. 4
# RbLaZn2I

A relaxed RbLaZn2I crystal (PBE-GGA, Alexandria).

Values from the calculation:
Raw formation energy, eV per atom: -0.0968
Energy, Ha/atom: -0.07700
Volume, Å³ per cell: 229
Density of states at the Fermi level, states/eV per cell: 6.8
Size of the total moment, μB per cell: 0.06

Cell: 6.0250 6.3054 6.0250 Å, 90.00 90.00 90.00°
Atoms (fractional coordinates):
Rb  0.5000  0.5000  0.5000
Zn  0.5000  0.0000  0.0000
Zn  0.0000  0.0000  0.5000
La  0.0000  0.0000  0.0000
I  0.0000  0.5000  0.0000


No. 5
# Rb2LaZrI6

A relaxed Rb2LaZrI6 crystal (PBE-GGA, Alexandria).

Values from the calculation:
Raw formation energy, eV per atom: -1.0994
Energy, Ha/atom: -0.13122
Volume, Å³ per cell: 460
Density of states at the Fermi level, states/eV per cell: 2.6
Size of the total moment, μB per cell: 2.94

Cell: 8.6651 8.6651 8.6650 Å, 60.00 60.00 90.00°
Atoms (fractional coordinates):
I  0.7427  0.7427  0.0000
I  0.7427  0.2573  0.0000
I  0.7427  0.7427  0.5146
I  0.2573  0.7427  0.0000
I  0.2573  0.2573  0.0000
I  0.2573  0.2573  0.4854
Zr  0.5000  0.5000  0.0000
Rb  0.7500  0.2500  0.5000
Rb  0.2500  0.7500  0.5000
La  0.0000  0.0000  0.0000


No. 6
# LaReI2

A relaxed LaReI2 crystal (PBE-GGA, Alexandria).

Values from the calculation:
Raw formation energy, eV per atom: 0.4607
Energy, Ha/atom: -0.17119
Volume, Å³ per cell: 112
Density of states at the Fermi level, states/eV per cell: 1.4
Size of the total moment, μB per cell: 3.88

Cell: 5.4056 5.4056 5.4056 Å, 60.00 60.00 60.00°
Atoms (fractional coordinates):
I  0.7500  0.7500  0.7500
I  0.2500  0.2500  0.2500
La  0.0000  0.0000  0.0000
Re  0.5000  0.5000  0.5000


No. 7
# La4ReI5

A relaxed La4ReI5 crystal (PBE-GGA, Alexandria).

Values from the calculation:
Raw formation energy, eV per atom: -1.0794
Energy, Ha/atom: -0.18633
Volume, Å³ per cell: 406
Density of states at the Fermi level, states/eV per cell: 5.7
Size of the total moment, μB per cell: 0.00

Cell: 4.4283 9.4619 10.2200 Å, 103.47 102.51 90.00°
Atoms (fractional coordinates):
La  0.3617  0.9276  0.7233
La  0.0002  0.2149  0.0004
La  0.6383  0.0724  0.2767
La  0.9998  0.7851  0.9996
I  0.1686  0.3370  0.3371
I  0.8283  0.1655  0.6566
I  0.5000  0.5000  0.0000
I  0.8314  0.6630  0.6629
I  0.1717  0.8345  0.3434
Re  0.5000  0.0000  0.0000


No. 8
# LaRe3I

A relaxed LaRe3I crystal (PBE-GGA, Alexandria).

Values from the calculation:
Offset from the most stable computed form, kJ per mole of atoms: 0.00
Raw formation energy, eV per atom: 2.0303
Energy, Ha/atom: -0.24747
Volume, Å³ per cell: 118
Density of states at the Fermi level, states/eV per cell: 9.9
Size of the total moment, μB per cell: 0.74

Cell: 4.8995 4.8995 4.8995 Å, 90.00 90.00 90.00°
Atoms (fractional coordinates):
Re  0.0000  0.5000  0.0000
Re  0.0000  0.0000  0.5000
Re  0.5000  0.0000  0.0000
La  0.5000  0.5000  0.5000
I  0.0000  0.0000  0.0000